No. 1
Entry from Alexandria via LeMat-Bulk: a relaxed structure of NdScSb2 (GGA-PBE).

```
data_NdScSb2
_space_group_name_H-M_alt 'P -3 m 1'
_space_group_IT_number 164
_space_group_name_Hall '-P 3 2"'
_cell_length_a 4.3196
_cell_length_b 4.3196
_cell_length_c 7.4039
_cell_angle_alpha 90.00
_cell_angle_beta 90.00
_cell_angle_gamma 120.00
loop_
_atom_site_label
_atom_site_fract_x
_atom_site_fract_y
_atom_site_fract_z
Nd1 0.0000 0.0000 0.0000
Sc1 0.0000 0.0000 0.5000
Sb1 0.3333 0.6667 0.7258
```

Excess energy over the best structure of this formula in the dataset ... 0.065 eV per atom
Formation energy (no corrections) ... -3.93 eV/f.u.

=====

No. 2
Entry from Alexandria via LeMat-Bulk: a relaxed structure of BaSr4Tl (GGA-PBE).

```
data_BaSr4Tl
_space_group_name_H-M_alt 'F -4 3 m'
_space_group_IT_number 216
_space_group_name_Hall 'F -4 2 3'
_cell_length_a 10.9373
_cell_length_b 10.9373
_cell_length_c 10.9373
_cell_angle_alpha 90.00
_cell_angle_beta 90.00
_cell_angle_gamma 90.00
loop_
_atom_site_label
_atom_site_fract_x
_atom_site_fract_y
_atom_site_fract_z
Ba1 0.0000 0.0000 0.0000
Sr1 0.1245 0.1245 0.6245
Tl1 0.2500 0.2500 0.2500
```

Excess energy over the best structure of this formula in the dataset ... 0.315 eV per atom
Energy relative to the elements ... 182 meV/atom

=====

No. 3
Entry from Alexandria via LeMat-Bulk: a relaxed structure of CsBaTe2 (GGA-PBE).

```
data_CsBaTe2
_space_group_name_H-M_alt 'I -4 2 d'
_space_group_IT_number 122
_space_group_name_Hall 'I -4 2bw'
_cell_length_a 7.6892
_cell_length_b 7.6892
_cell_length_c 18.7977
_cell_angle_alpha 90.00
_cell_angle_beta 90.00
_cell_angle_gamma 90.00
loop_
_atom_site_label
_atom_site_fract_x
_atom_site_fract_y
_atom_site_fract_z
Cs1 0.0000 0.0000 0.0000
Ba1 0.0000 0.0000 0.5000
Te1 0.1904 0.2500 0.6250
```

Formation energy (no corrections) ... -3.68 eV/f.u.

=====

No. 4
Entry from Alexandria via LeMat-Bulk: a relaxed structure of TiBe8Mo3 (GGA-PBE).

```
data_TiBe8Mo3
_space_group_name_H-M_alt 'P 3 m 1'
_space_group_IT_number 156
_space_group_name_Hall 'P 3 -2"'
_cell_length_a 4.4777
_cell_length_b 4.4777
_cell_length_c 7.2971
_cell_angle_alpha 90.00
_cell_angle_beta 90.00
_cell_angle_gamma 120.00
loop_
_atom_site_label
_atom_site_fract_x
_atom_site_fract_y
_atom_site_fract_z
Ti1 0.0000 0.0000 0.0000
Be1 0.1632 0.3263 0.6827
Be2 0.3333 0.6667 0.4296
Be3 0.3333 0.6667 0.9341
Be4 0.5042 0.0085 0.1839
Mo1 0.0000 0.0000 0.3732
Mo2 0.6667 0.3333 0.4965
Mo3 0.6667 0.3333 0.8659
```

Energy relative to the elements ... -301 meV/atom

=====

No. 5
Entry from Alexandria via LeMat-Bulk: a relaxed structure of ScRe2Ir (GGA-PBE).

```
data_ScRe2Ir
_space_group_name_H-M_alt 'P 4 m m'
_space_group_IT_number 99
_space_group_name_Hall 'P 4 -2'
_cell_length_a 2.8961
_cell_length_b 2.8961
_cell_length_c 7.7175
_cell_angle_alpha 90.00
_cell_angle_beta 90.00
_cell_angle_gamma 90.00
loop_
_atom_site_label
_atom_site_fract_x
_atom_site_fract_y
_atom_site_fract_z
Sc1 0.0000 0.0000 0.0000
Re1 0.0000 0.0000 0.4981
Re2 0.5000 0.5000 0.7225
Ir1 0.5000 0.5000 0.2621
```

Excess energy over the best structure of this formula in the dataset ... 0.008 eV per atom
Energy relative to the elements ... -141 meV/atom

=====

No. 6
Entry from Alexandria via LeMat-Bulk: a relaxed structure of CaRePt (GGA-PBE).

```
data_CaRePt
_space_group_name_H-M_alt 'P 3 m 1'
_space_group_IT_number 156
_space_group_name_Hall 'P 3 -2"'
_cell_length_a 2.9264
_cell_length_b 2.9264
_cell_length_c 7.2606
_cell_angle_alpha 90.00
_cell_angle_beta 90.00
_cell_angle_gamma 120.00
loop_
_atom_site_label
_atom_site_fract_x
_atom_site_fract_y
_atom_site_fract_z
Ca1 0.0000 0.0000 0.0000
Re1 0.3333 0.6667 0.6441
Pt1 0.6667 0.3333 0.3457
```

Excess energy over the best structure of this formula in the dataset ... 0.316 eV per atom
Energy relative to the elements ... 420 meV/atom

=====

No. 7
Entry from Alexandria via LeMat-Bulk: a relaxed structure of DyErBeNi (GGA-PBE).

```
data_DyErBeNi
_space_group_name_H-M_alt 'F -4 3 m'
_space_group_IT_number 216
_space_group_name_Hall 'F -4 2 3'
_cell_length_a 6.7494
_cell_length_b 6.7494
_cell_length_c 6.7494
_cell_angle_alpha 90.00
_cell_angle_beta 90.00
_cell_angle_gamma 90.00
loop_
_atom_site_label
_atom_site_fract_x
_atom_site_fract_y
_atom_site_fract_z
Dy1 0.0000 0.0000 0.0000
Er1 0.0000 0.0000 0.5000
Be1 0.2500 0.2500 0.2500
Ni1 0.2500 0.2500 0.7500
```

Energy relative to the elements ... -154 meV/atom

=====

No. 8
Entry from Alexandria via LeMat-Bulk: a relaxed structure of AsPCI (GGA-PBE).

```
data_AsPCI
_space_group_name_H-M_alt 'P 1'
_space_group_IT_number 1
_space_group_name_Hall 'P 1'
_cell_length_a 4.3454
_cell_length_b 4.6479
_cell_length_c 6.9114
_cell_angle_alpha 84.86
_cell_angle_beta 89.43
_cell_angle_gamma 62.32
loop_
_atom_site_label
_atom_site_fract_x
_atom_site_fract_y
_atom_site_fract_z
As1 0.0000 0.0000 0.0000
P1 0.6875 0.6176 0.9762
C1 0.8256 0.3491 0.7995
I1 0.8127 0.3795 0.4988
```

Excess energy over the best structure of this formula in the dataset ... 0.323 eV per atom
Formation energy (no corrections) ... 2.90 eV/f.u.

=====

Number 1: ρ 6006 kg/m³. Number 2: ρ 3514 kg/m³. Number 3: ρ 3140 kg/m³. Number 4: ρ 5344 kg/m³. Number 5: ρ 15638 kg/m³. Number 6: ρ 12994 kg/m³. Number 7: ρ 8586 kg/m³. Number 8: ρ 3304 kg/m³.